{"formula": "Pm5Pr2Cd", "functional": "GGA-PBE", "state": "optimized geometry", "cell": [[5.2203, 0.0000, 0.0000], [0.0000, 17.7281, 0.0000], [-2.6030, 0.0000, 5.8014]], "species": ["Pm", "Pm", "Pm", "Pm", "Pm", "Pm", "Pm", "Pm", "Pm", "Pm", "Pr", "Pr", "Pr", "Pr", "Cd", "Cd"], "fractional_positions": [[0.0349, 0.2500, 0.0710], [0.2541, 0.6525, 0.5078], [0.2541, 0.8475, 0.5078], [0.4493, 0.0958, 0.8991], [0.4493, 0.4042, 0.8991], [0.5507, 0.5958, 0.1009], [0.5507, 0.9042, 0.1009], [0.7459, 0.1525, 0.4922], [0.7459, 0.3475, 0.4922], [0.9651, 0.7500, 0.9290], [0.1481, 0.0408, 0.2947], [0.1481, 0.4592, 0.2947], [0.8519, 0.5408, 0.7053], [0.8519, 0.9592, 0.7053], [0.3182, 0.2500, 0.6362], [0.6818, 0.7500, 0.3638]], "ef_mev_per_atom": -17, "n_ef_per_ev_fu": 11.06, "magnetic_moment_mub_per_fu": 0.0}